No. 1
The following is a DFT calculation (PBE) of crystalline Zn2InCu at its relaxed geometry.

Cell: 3.0270 3.0270 26.2621 Å, 90.00 90.00 120.00°
Space group R-3m (No. 166, hexagonal axes)
Symmetry-distinct sites (fractional):
Zn1 0.0000 0.0000 0.2391 (multiplicity 6)
In1 0.0000 0.0000 0.0000 (multiplicity 3)
Cu1 0.0000 0.0000 0.5000 (multiplicity 3)

Energy of formation from the pure elements (eV/atom): 0.113
DOS at the Fermi energy (states/eV/cell): 2.3

No. 2
The following is a DFT calculation (PBE) of crystalline Zn2InCu at its relaxed geometry.

Cell: 3.0827 4.2732 5.2200 Å, 90.00 100.02 90.00°
Space group Pm (No. 6)
Symmetry-distinct sites (fractional):
Zn1 0.0000 0.0000 0.0000 (multiplicity 1)
Zn2 0.4716 0.5000 0.8493 (multiplicity 1)
In1 0.6148 0.0000 0.4823 (multiplicity 1)
Cu1 0.1092 0.5000 0.2783 (multiplicity 1)

Energy of formation from the pure elements (eV/atom): 0.079
DOS at the Fermi energy (states/eV/cell): 0.6

No. 3
The following is a DFT calculation (PBE) of crystalline Zn2InCu at its relaxed geometry.

Cell: 6.4587 6.4587 6.4587 Å, 90.00 90.00 90.00°
Space group F-43m (No. 216)
Symmetry-distinct sites (fractional):
Zn1 0.0000 0.0000 0.0000 (multiplicity 4)
Zn2 0.2500 0.2500 0.2500 (multiplicity 4)
In1 0.2500 0.2500 0.7500 (multiplicity 4)
Cu1 0.0000 0.0000 0.5000 (multiplicity 4)

Energy of formation from the pure elements (eV/atom): 0.164
DOS at the Fermi energy (states/eV/cell): 11.2

No. 4
The following is a DFT calculation (PBE) of crystalline ZnInCu at its relaxed geometry.

Cell: 4.3337 4.3337 3.2672 Å, 90.00 90.00 120.00°
Space group P-6m2 (No. 187)
Symmetry-distinct sites (fractional):
Zn1 0.0000 0.0000 0.0000 (multiplicity 1)
In1 0.6667 0.3333 0.5000 (multiplicity 1)
Cu1 0.3333 0.6667 0.0000 (multiplicity 1)

Energy of formation from the pure elements (eV/atom): 0.113
DOS at the Fermi energy (states/eV/cell): 0.6